Entry 1:
Material: NaSn2Cl5
Method: DFT, GGA-PBE
State: relaxed

Cell and atoms, written as extended XYZ:
```
16
Lattice="6.673 0.000 2.878 2.366 9.560 3.689 0.464 -0.034 8.100" Properties=species:S:1:pos:R:3 pbc="T T T"
Na 7.403 2.686 10.373
Na 8.346 7.483 8.164
Cl 5.595 7.365 8.526
Cl 4.423 7.598 4.928
Cl 2.820 1.256 6.106
Cl 5.776 2.801 8.127
Cl 7.920 6.053 5.690
Cl 2.386 5.092 6.883
Cl 4.791 4.123 3.675
Cl 1.890 2.602 1.645
Cl 5.288 0.329 2.850
Cl 8.800 8.886 10.688
Sn 4.540 0.529 8.386
Sn 5.083 5.327 6.005
Sn 2.518 0.080 3.793
Sn 3.601 4.843 9.545
```

Calculated values
final energy = -0.12918 Ha/atom
N(E_F) = 0.00 states/eV per atom
formation energy without anion corrections = -1.20 eV per atom

=====

Entry 2:
Material: PaNb2Ni
Method: DFT, GGA-PBE
State: relaxed

Cell and atoms, written as extended XYZ:
```
4
Lattice="-1.913 1.557 -1.613 -0.598 -0.814 -2.768 -8.234 -5.449 1.812" Properties=species:S:1:pos:R:3 pbc="T T T"
Pa 0.000 0.000 0.000
Nb -4.650 -0.904 -3.435
Nb -6.095 -3.802 0.866
Ni -5.372 -2.353 -1.284
```

Calculated values
final energy = -0.30947 Ha/atom
calculated formation energy = 1.73 eV per formula unit
N(E_F) = 1.46 states/eV per atom

=====

Entry 3:
Material: Zr4Cd5Au2
Method: DFT, GGA-PBE
State: relaxed

Cell and atoms, written as extended XYZ:
```
11
Lattice="-0.069 2.847 0.872 -2.431 2.086 -7.001 -9.355 -1.336 3.622" Properties=species:S:1:pos:R:3 pbc="T T T"
Zr -6.958 2.213 -2.686
Zr -3.172 3.046 -5.107
Zr -4.897 1.385 0.179
Zr -8.683 0.551 2.601
Cd -7.652 -0.029 -0.511
Cd -4.134 0.779 -2.867
Cd -1.216 1.043 -3.500
Cd -9.749 0.545 -2.548
Cd -2.037 0.205 -0.830
Au -6.115 -0.733 1.909
Au -5.671 1.483 -5.287
```

Calculated values
final energy = -0.15998 Ha/atom
calculated formation energy = -2.56 eV per formula unit
N(E_F) = 0.59 states/eV per atom

=====

Entry 4:
Material: Pm12Tl3Zn
Method: DFT, GGA-PBE
State: relaxed

Cell and atoms, written as extended XYZ:
```
16
Lattice="4.940 0.000 0.000 0.000 4.940 0.000 0.000 0.000 19.667" Properties=species:S:1:pos:R:3 pbc="T T T"
Pm 0.000 2.470 17.314
Pm 2.470 0.000 12.328
Pm 0.000 2.470 12.328
Pm 0.000 2.470 2.353
Pm 2.470 2.470 9.834
Pm 0.000 2.470 7.339
Pm 2.470 2.470 0.000
Pm 2.470 0.000 7.339
Pm 2.470 2.470 14.849
Pm 2.470 2.470 4.818
Pm 2.470 0.000 17.314
Pm 2.470 0.000 2.353
Tl 0.000 0.000 4.866
Tl 0.000 0.000 14.801
Tl 0.000 0.000 9.834
Zn 0.000 0.000 0.000
```

Calculated values
final energy = -0.15616 Ha/atom
calculated formation energy = -2.61 eV per formula unit
N(E_F) = 1.44 states/eV per atom

=====

Entry 5:
Material: LiOs4
Method: DFT, GGA-PBE
State: relaxed

Cell and atoms, written as extended XYZ:
```
5
Lattice="4.058 0.000 0.000 0.000 4.058 0.000 0.000 0.000 4.058" Properties=species:S:1:pos:R:3 pbc="T T T"
Os 2.029 0.000 2.029
Os 0.000 2.029 2.029
Os 2.029 2.029 0.000
Os 0.000 0.000 0.000
Li 2.029 2.029 2.029
```

Calculated values
final energy = -0.29843 Ha/atom
calculated formation energy = 6.23 eV per formula unit
N(E_F) = 0.41 states/eV per atom

=====

Entry 6:
Material: Zr2VPt
Method: DFT, GGA-PBE
State: relaxed

Cell and atoms, written as extended XYZ:
```
4
Lattice="-4.686 -0.213 0.312 -2.155 -4.174 0.197 -2.028 -1.412 4.000" Properties=species:S:1:pos:R:3 pbc="T T T"
Zr -2.217 -1.450 1.127
Zr -6.652 -4.349 3.381
Pt 0.000 0.000 0.000
V -4.434 -2.899 2.254
```

Calculated values
final energy = -0.31121 Ha/atom
calculated formation energy = -1.62 eV per formula unit
N(E_F) = 0.92 states/eV per atom

=====

Entry 7:
Material: Cr2Pd3Pt4
Method: DFT, GGA-PBE
State: relaxed

Cell and atoms, written as extended XYZ:
```
9
Lattice="-3.581 0.190 1.629 -3.350 -2.522 -2.309 -0.747 -7.263 3.965" Properties=species:S:1:pos:R:3 pbc="T T T"
Pd -3.453 -3.678 2.359
Pd 0.000 0.000 0.000
Pd -4.224 -5.917 0.925
Cr -1.738 -1.814 1.153
Cr -5.940 -7.781 2.132
Pt -4.333 -2.076 0.240
Pt -5.193 -5.520 3.511
Pt -2.484 -4.075 -0.226
Pt -3.345 -7.519 3.045
```

Calculated values
final energy = -0.24688 Ha/atom
calculated formation energy = -1.47 eV per formula unit
N(E_F) = 1.32 states/eV per atom

=====

Entry 8:
Material: Mn2ReAs
Method: DFT, GGA-PBE
State: relaxed

Cell and atoms, written as extended XYZ:
```
8
Lattice="-5.041 1.039 -1.881 -1.050 -5.376 -0.153 -4.771 -1.967 3.719" Properties=species:S:1:pos:R:3 pbc="T T T"
Mn -5.862 -3.099 2.027
Mn -8.909 -5.273 1.009
Mn -4.477 -0.514 -0.266
Mn -2.477 -3.722 0.600
As -3.046 -2.169 -1.017
As -4.434 -4.756 1.274
Re -6.429 -1.548 0.411
Re 0.000 0.000 0.000
```

Calculated values
final energy = -0.29035 Ha/atom
calculated formation energy = 3.83 eV per formula unit
N(E_F) = 1.15 states/eV per atom

=====

Entry 9:
Material: Cu2MoAu
Method: DFT, GGA-PBE
State: relaxed

Cell and atoms, written as extended XYZ:
```
4
Lattice="2.669 0.000 0.000 0.000 3.875 0.000 0.000 0.000 5.672" Properties=species:S:1:pos:R:3 pbc="T T T"
Cu 1.334 1.938 1.388
Cu 0.000 0.000 0.094
Au 1.334 1.938 4.295
Mo 0.000 0.000 2.730
```

Calculated values
final energy = -0.19573 Ha/atom
calculated formation energy = 1.00 eV per formula unit
N(E_F) = 0.62 states/eV per atom

=====

Entry 10:
Material: InBRh2Au
Method: DFT, GGA-PBE
State: relaxed

Cell and atoms, written as extended XYZ:
```
5
Lattice="4.188 0.000 0.000 0.000 4.188 0.000 0.000 0.000 4.338" Properties=species:S:1:pos:R:3 pbc="T T T"
In 2.094 2.094 2.169
Au 0.000 0.000 2.169
Rh 0.000 2.094 0.000
Rh 2.094 0.000 0.000
B 0.000 0.000 0.000
```

Calculated values
final energy = -0.20770 Ha/atom
calculated formation energy = -0.86 eV per formula unit
N(E_F) = 0.44 states/eV per atom

=====

Entry 11:
Material: PuHg5
Method: DFT, GGA-PBE
State: relaxed

Cell and atoms, written as extended XYZ:
```
6
Lattice="-2.972 -2.643 -1.995 0.288 -0.831 5.635 -4.131 5.435 -1.044" Properties=species:S:1:pos:R:3 pbc="T T T"
Hg -3.254 -0.242 0.206
Hg -5.286 2.432 -0.308
Hg -2.066 2.718 -0.522
Hg -1.530 -0.471 2.904
Hg -3.562 2.203 2.389
Pu 0.000 0.000 0.000
```

Calculated values
final energy = -0.09974 Ha/atom
calculated formation energy = -0.44 eV per formula unit
N(E_F) = 2.67 states/eV per atom

=====

Entry 12:
Material: Dy7Hg4O
Method: DFT, GGA-PBE
State: relaxed

Cell and atoms, written as extended XYZ:
```
12
Lattice="4.867 0.000 0.000 2.434 8.504 0.356 2.434 0.823 8.054" Properties=species:S:1:pos:R:3 pbc="T T T"
Dy 4.867 4.097 2.510
Dy 4.867 5.229 5.899
Dy 2.434 0.000 0.000
Dy 2.434 6.543 1.379
Dy 7.301 7.715 5.023
Dy 2.434 1.611 3.386
Dy 7.301 2.784 7.030
Hg 7.301 6.079 7.632
Hg 4.867 2.250 5.100
Hg 4.867 7.077 3.310
Hg 2.434 3.247 0.777
O 0.000 0.000 0.000
```

Calculated values
final energy = -0.14034 Ha/atom
N(E_F) = 1.14 states/eV per atom
formation energy without anion corrections = -0.62 eV per atom